This record from Alexandria via LeMat-Bulk describes K3CrFe at its PBEsol-relaxed geometry. The functional is meta-GGA SCAN.

Properties
ΔH_f (0 K) (eV per atom): 1.139
VASP energy (eV/atom): -11.1614
Total magnetization (μB/atom): 1.579
N(E_F) (states/eV per atom): 2.464

Structure (CIF):
```
data_K3CrFe
_cell_length_a 6.140
_cell_length_b 6.140
_cell_length_c 6.140
_cell_angle_alpha 90.00
_cell_angle_beta 90.00
_cell_angle_gamma 90.00
_symmetry_space_group_name_H-M 'P 1'
_symmetry_Int_Tables_number 1
loop_
_symmetry_equiv_pos_as_xyz
'x,y,z'
loop_
_atom_site_label
_atom_site_type_symbol
_atom_site_fract_x
_atom_site_fract_y
_atom_site_fract_z
K1 K 0.000 0.000 0.500
K2 K 0.000 0.500 0.000
K3 K 0.500 0.000 0.000
Cr1 Cr 0.500 0.500 0.500
Fe1 Fe 0.000 0.000 0.000
```